! Ac2DyGe2Pd7 (PBE, relaxed); values from VASP
&SYSTEM
  ibrav = 0, nat = 12, ntyp = 4
/
ATOMIC_SPECIES
Ac 227.00 Ac.upf
Dy 162.50 Dy.upf
Ge 72.64 Ge.upf
Pd 106.42 Pd.upf
CELL_PARAMETERS angstrom
3.015 -2.986 0.000
3.015 2.986 0.000
-1.816 0.000 13.900
ATOMIC_POSITIONS angstrom
Ac -0.033 0.000 4.872
Ac 4.248 0.000 9.029
Dy 0.000 0.000 0.000
Ge 1.192 0.000 10.554
Ge 3.023 0.000 3.346
Pd 1.510 1.488 2.032
Pd 1.282 0.000 8.013
Pd 2.705 1.488 11.869
Pd 3.015 0.000 0.000
Pd 1.510 -1.488 2.032
Pd 2.933 0.000 5.888
Pd 2.705 -1.488 11.869
! Volume (Å³ per cell): 250.29
! Calculated total energy (eV per formula unit): -68.5
! Formation energy (meV/atom): -838.6